DFT (PBE) results for a relaxed structure of SiBr.

Cell lengths 5.002, 4.227, 6.483 Å; angles 90.00, 90.00, 90.00 degrees
Fractional coordinates of all 4 atoms:
Si 0.250 0.000 0.002
Si 0.750 0.000 0.998
Br 0.250 0.500 0.781
Br 0.750 0.500 0.219

- V: 34.26 A^3/atom
- Fermi-level density of states: 0.8 states/eV/f.u.
- Raw total energy: -3.430 eV/atom
- M_tot: 0.000 μB/atom
- Polymorph energy (0 for the lowest one): 536 meV per atom
- Energy relative to the elements, uncorrected: 0.24 eV per formula unit